Entry 1:
Below is a geometry-optimized LaZrNi2 structure, with properties calculated at the PBE-GGA level.

```
LaZrNi2
1.0
7.2277 0.0000 0.0000
0.0000 7.2277 0.0000
3.6138 3.6138 3.1361
Zr Ni La
2 4 2
direct
0.5000 0.5000 0.0000 Zr
0.2500 0.7500 0.5000 Zr
0.1507 0.6250 0.2500 Ni
0.5993 0.1250 0.2500 Ni
0.3750 0.4007 0.7500 Ni
0.8750 0.8493 0.7500 Ni
0.0000 0.0000 0.0000 La
0.7500 0.2500 0.5000 La
```

## Properties
DFT total energy (eV per atom): -6.16
Density of states at the Fermi level (states/eV/atom): 1.376
Total moment (μB per atom): 0.000
Energy relative to the elements (eV per atom): 0.10


Entry 2:
Below is a geometry-optimized PrZrAg2 structure, with properties calculated at the PBE-GGA level.

```
PrZrAg2
1.0
3.5532 0.0000 0.0000
0.0000 3.5532 0.0000
0.0000 0.0000 7.4637
Ag Zr Pr
2 1 1
direct
0.0000 0.0000 0.7877 Ag
0.0000 0.0000 0.2123 Ag
0.5000 0.5000 0.0000 Zr
0.5000 0.5000 0.5000 Pr
```

## Properties
Offset from the most stable computed form (eV per atom): 0.000
DFT total energy (eV per atom): -4.83
Density of states at the Fermi level (states/eV/atom): 0.883
Total moment (μB per atom): 0.267
Energy relative to the elements (eV per atom): -0.07